This record from the Alexandria database describes a geometry-optimized ScCuF3 structure. The functional is PBEsol.

Results
ΔE_f (raw), eV/atom: -1.642
VASP energy, eV for the cell shown: -24.9
Space-group type: Pm-3m

a b c (Å): 4.0047 4.0047 4.0047
angles (deg): 90.00 90.00 90.00
Last column: nearest neighbours and their distance in Å.
Element x y z (fractional)
Sc1 0.0000 0.0000 0.0000  12 F 2.83
Cu1 0.5000 0.5000 0.5000  6 F 2.00
F1 0.0000 0.5000 0.5000  2 Cu 2.00
F2 0.5000 0.0000 0.5000  2 Cu 2.00
F3 0.5000 0.5000 0.0000  2 Cu 2.00



This record from the Alexandria database describes a geometry-optimized Y2TlSe structure. The functional is PBEsol.

Results
ΔE_f (raw), eV/atom: -0.776
VASP energy, eV for the cell shown: -46.5
Excess energy over the best structure of this formula in the dataset, eV/atom: 0.375
Space-group type: I4/mmm

a b c (Å): 4.9681 4.9681 7.8439
angles (deg): 90.00 90.00 90.00
Last column: nearest neighbours and their distance in Å.
Element x y z (fractional)
Y1 0.0000 0.5000 0.2500  4 Tl 3.16, 4 Se 3.16, 4 Y 3.51
Y2 0.0000 0.5000 0.7500  4 Tl 3.16, 4 Se 3.16, 4 Y 3.51
Y3 0.5000 0.0000 0.2500  4 Tl 3.16, 4 Se 3.16, 4 Y 3.51
Y4 0.5000 0.0000 0.7500  4 Tl 3.16, 4 Se 3.16, 4 Y 3.51
Tl1 0.0000 0.0000 0.0000  8 Y 3.16, 4 Se 3.51
Tl2 0.5000 0.5000 0.5000  8 Y 3.16, 4 Se 3.51
Se1 0.0000 0.0000 0.5000  8 Y 3.16, 4 Tl 3.51
Se2 0.5000 0.5000 0.0000  8 Y 3.16, 4 Tl 3.51



This record from the Alexandria database describes a geometry-optimized Na2NiAs structure. The functional is PBEsol.

Results
VASP energy, eV for the cell shown: -57.3
Space-group type: I4_1/amd
Energy relative to the elements, eV per atom: -0.07

a b c (Å): 10.8003 10.8003 4.2589
angles (deg): 90.00 90.00 90.00
Last column: nearest neighbours and their distance in Å.
Element x y z (fractional)
Na1 0.0000 0.0000 0.0000  2 Ni 2.75
Na2 0.0000 0.5000 0.0000  2 Ni 2.75
Na3 0.2500 0.2500 0.7500  2 Ni 2.75
Na4 0.2500 0.7500 0.2500  2 Ni 2.75
Na5 0.5000 0.0000 0.5000  2 Ni 2.75
Na6 0.5000 0.5000 0.5000  2 Ni 2.75
Na7 0.7500 0.2500 0.7500  2 Ni 2.75
Na8 0.7500 0.7500 0.2500  2 Ni 2.75
Ni1 0.0000 0.2500 0.8750  2 As 2.13
Ni2 0.0000 0.7500 0.1250  2 As 2.13
Ni3 0.5000 0.2500 0.6250  2 As 2.13
Ni4 0.5000 0.7500 0.3750  2 As 2.13
As1 0.0000 0.2500 0.3750  2 Ni 2.13
As2 0.0000 0.7500 0.6250  2 Ni 2.13
As3 0.5000 0.2500 0.1250  2 Ni 2.13
As4 0.5000 0.7500 0.8750  2 Ni 2.13